AcPrPt2: relaxed, PBE.

Output
Energy of formation: -1.01 eV per atom
Raw total energy: -6.251 eV/atom
Energy relative to the lowest polymorph listed for this composition: 127 meV/atom
Total magnetic moment: 0.0 μB/f.u.
D(E_F): 0.47 states/eV per atom
Calculated volume: 28.7 Å³/atom

a b c (Å): 4.2407 4.2407 22.0826
angles (deg): 90.00 90.00 120.00
Space group R3m (No. 160, hexagonal axes)
Unique sites:
Ac 0.0000 0.0000 0.0000 (multiplicity 3)
Pr 0.0000 0.0000 0.8272 (multiplicity 3)
Pt 0.0000 0.0000 0.2447 (multiplicity 3)
Pt 0.0000 0.0000 0.4169 (multiplicity 3)


Ac2Pr2Pt2Rh: relaxed, PBE.

Output
Energy of formation: -0.82 eV per atom
Raw total energy: -6.134 eV/atom
Total magnetic moment: 0.0 μB/f.u.
D(E_F): 0.68 states/eV per atom
Calculated volume: 30.6 Å³/atom

a b c (Å): 14.515 4.124 8.113
angles (deg): 90.00 118.13 90.00
Space group C2/m (No. 12)
Unique sites:
Ac 0.037 0.000 0.267 (multiplicity 4)
Pr 0.213 0.500 0.786 (multiplicity 4)
Pt 0.120 0.500 0.051 (multiplicity 4)
Rh 0.000 0.500 0.500 (multiplicity 2)